! Dy2CdCl, optimized geometry, DFT GGA-PBE; values from VASP
! space group	No. 166
! formation energy from raw total energies	-0.415	eV/atom
! energy	-13.62	eV/cell
&SYSTEM
  ibrav = 0, nat = 4, ntyp = 3
/
ATOMIC_SPECIES
Dy 162.50 Dy.upf
Cd 112.41 Cd.upf
Cl 35.45 Cl.upf
CELL_PARAMETERS angstrom
1.711 0.988 10.794
-1.711 0.988 10.794
0.000 -1.976 10.794
ATOMIC_POSITIONS crystal
Dy 0.098 0.098 0.098
Dy 0.902 0.902 0.902
Cd 0.000 0.000 0.000
Cl 0.500 0.500 0.500



! Tm3AlNi9P2, optimized geometry, DFT GGA-PBE; values from VASP
! space group	No. 164
! energy	-86.58	eV/cell
&SYSTEM
  ibrav = 0, nat = 15, ntyp = 4
/
ATOMIC_SPECIES
Tm 168.93 Tm.upf
Al 26.98 Al.upf
Ni 58.69 Ni.upf
P 30.97 P.upf
CELL_PARAMETERS angstrom
5.731 0.000 0.000
-2.865 4.963 0.000
0.000 0.000 8.365
ATOMIC_POSITIONS crystal
Tm 0.000 0.000 0.000
Tm 0.333 0.667 0.662
Tm 0.667 0.333 0.338
Al 0.000 0.000 0.500
Ni 0.000 0.500 0.000
Ni 0.145 0.289 0.278
Ni 0.145 0.855 0.278
Ni 0.289 0.145 0.722
Ni 0.500 0.000 0.000
Ni 0.500 0.500 0.000
Ni 0.711 0.855 0.278
Ni 0.855 0.145 0.722
Ni 0.855 0.711 0.722
P 0.333 0.667 0.168
P 0.667 0.333 0.832



! SrReRu2, optimized geometry, DFT GGA-PBE; values from VASP
! excess energy over the best structure of this formula in the dataset	0.407	eV per atom
! space group	No. 65
! energy	-29.30	eV/cell
&SYSTEM
  ibrav = 0, nat = 4, ntyp = 3
/
ATOMIC_SPECIES
Sr 87.62 Sr.upf
Re 186.21 Re.upf
Ru 101.07 Ru.upf
CELL_PARAMETERS angstrom
3.397 -3.401 0.000
3.397 3.401 0.000
0.000 0.000 2.993
ATOMIC_POSITIONS crystal
Sr 0.000 0.000 0.000
Re 0.500 0.500 0.000
Ru 0.000 0.500 0.500
Ru 0.500 0.000 0.500



! BeNbH, optimized geometry, DFT GGA-PBE; values from VASP
! excess energy over the best structure of this formula in the dataset	0.256	eV per atom
! space group	No. 1
! energy	-34.83	eV/cell
&SYSTEM
  ibrav = 0, nat = 6, ntyp = 3
/
ATOMIC_SPECIES
Be 9.01 Be.upf
Nb 92.91 Nb.upf
H 1.01 H.upf
CELL_PARAMETERS angstrom
3.374 0.000 0.000
-1.647 3.018 0.000
-0.849 -1.492 5.783
ATOMIC_POSITIONS crystal
Be 0.000 0.000 0.000
Be 0.316 0.654 0.998
Nb 0.518 0.186 0.717
Nb 0.813 0.483 0.310
H 0.747 0.918 0.184
H 0.920 0.087 0.520



! GePbOF2, optimized geometry, DFT GGA-PBE; values from VASP
! excess energy over the best structure of this formula in the dataset	0.503	eV per atom
! space group	No. 123
! formation energy from raw total energies	-0.938	eV/atom
! energy	-21.72	eV/cell
&SYSTEM
  ibrav = 0, nat = 5, ntyp = 4
/
ATOMIC_SPECIES
Ge 72.64 Ge.upf
Pb 207.20 Pb.upf
O 16.00 O.upf
F 19.00 F.upf
CELL_PARAMETERS angstrom
4.646 0.000 0.000
0.000 4.646 0.000
0.000 0.000 4.402
ATOMIC_POSITIONS crystal
Ge 0.000 0.000 0.000
Pb 0.500 0.500 0.500
O 0.500 0.500 0.000
F 0.000 0.500 0.500
F 0.500 0.000 0.500



! La2Pm3Er8, optimized geometry, DFT GGA-PBE; values from VASP
! excess energy over the best structure of this formula in the dataset	0.000	eV per atom
! space group	No. 12
! energy	-57.56	eV/cell
&SYSTEM
  ibrav = 0, nat = 13, ntyp = 3
/
ATOMIC_SPECIES
La 138.91 La.upf
Pm 145.00 Pm.upf
Er 167.26 Er.upf
CELL_PARAMETERS angstrom
7.337 -4.590 0.000
7.337 4.590 0.000
-2.219 0.000 6.616
ATOMIC_POSITIONS crystal
La 0.224 0.224 0.419
La 0.776 0.776 0.581
Pm 0.000 0.000 0.000
Pm 0.177 0.823 0.500
Pm 0.823 0.177 0.500
Er 0.193 0.193 0.894
Er 0.201 0.563 0.833
Er 0.423 0.423 0.265
Er 0.437 0.799 0.167
Er 0.563 0.201 0.833
Er 0.577 0.577 0.735
Er 0.799 0.437 0.167
Er 0.807 0.807 0.106



Quick rundown of magnetization, same order as above: 0.0 0.0 0.0 0.0 0.1 0.0 Bohr magnetons per cell